# 1
{"formula": "CaGeN2", "functional": "GGA-PBEsol", "state": "relaxed", "lattice": [[3.716, 0.000, 0.000], [-1.858, 3.218, 0.000], [0.000, 0.000, 17.296]], "species": ["Ca", "Ca", "Ca", "Ge", "Ge", "Ge", "N", "N", "N", "N", "N", "N"], "fractional_positions": [[0.000, 0.000, 0.000], [0.333, 0.667, 0.667], [0.667, 0.333, 0.333], [0.000, 0.000, 0.500], [0.333, 0.667, 0.167], [0.667, 0.333, 0.833], [0.000, 0.000, 0.403], [0.000, 0.000, 0.597], [0.333, 0.667, 0.069], [0.333, 0.667, 0.264], [0.667, 0.333, 0.736], [0.667, 0.333, 0.931]], "spacegroup": "R-3m (166)", "dft_energy_ha_per_atom": -0.232}

# 2
{"formula": "SiHgOF2", "functional": "GGA-PBEsol", "state": "relaxed", "lattice": [[4.277, 0.000, 0.000], [0.000, 4.277, 0.000], [0.000, 0.000, 3.345]], "species": ["Si", "Hg", "O", "F", "F"], "fractional_positions": [[0.000, 0.000, 0.000], [0.500, 0.500, 0.500], [0.000, 0.000, 0.500], [0.000, 0.500, 0.000], [0.500, 0.000, 0.000]], "dos_at_fermi_per_ev_cell": 1.5, "spacegroup": "P4/mmm (123)", "polymorph_energy_ev_per_atom": 0.000}

# 3
{"formula": "Ca2LaSi", "functional": "GGA-PBEsol", "state": "relaxed", "lattice": [[4.612, 0.000, 0.000], [0.000, 4.612, 0.000], [0.000, 0.000, 10.557]], "species": ["Ca", "Ca", "Ca", "Ca", "La", "La", "Si", "Si"], "fractional_positions": [[0.000, 0.500, 0.250], [0.000, 0.500, 0.750], [0.500, 0.000, 0.250], [0.500, 0.000, 0.750], [0.000, 0.000, 0.000], [0.500, 0.500, 0.500], [0.000, 0.000, 0.500], [0.500, 0.500, 0.000]], "dos_at_fermi_per_ev_cell": 6.6, "spacegroup": "I4/mmm (139)", "dft_energy_ha_per_atom": -0.145}

# 4
{"formula": "Ba3Te3Br2O8", "functional": "GGA-PBEsol", "state": "relaxed", "lattice": [[12.620, 0.000, 0.000], [0.000, 5.938, 0.000], [0.000, 0.000, 18.019]], "species": ["Ba", "Ba", "Ba", "Ba", "Ba", "Ba", "Ba", "Ba", "Ba", "Ba", "Ba", "Ba", "Te", "Te", "Te", "Te", "Te", "Te", "Te", "Te", "Te", "Te", "Te", "Te", "Br", "Br", "Br", "Br", "Br", "Br", "Br", "Br", "O", "O", "O", "O", "O", "O", "O", "O", "O", "O", "O", "O", "O", "O", "O", "O", "O", "O", "O", "O", "O", "O", "O", "O", "O", "O", "O", "O", "O", "O", "O", "O"], "fractional_positions": [[0.045, 0.250, 0.198], [0.129, 0.750, 0.015], [0.143, 0.750, 0.581], [0.357, 0.250, 0.081], [0.371, 0.250, 0.515], [0.455, 0.750, 0.698], [0.545, 0.250, 0.302], [0.629, 0.750, 0.485], [0.643, 0.750, 0.919], [0.857, 0.250, 0.419], [0.871, 0.250, 0.985], [0.955, 0.750, 0.802], [0.041, 0.750, 0.345], [0.128, 0.250, 0.890], [0.250, 0.250, 0.703], [0.250, 0.750, 0.203], [0.372, 0.750, 0.390], [0.459, 0.250, 0.845], [0.541, 0.750, 0.155], [0.628, 0.250, 0.610], [0.750, 0.250, 0.797], [0.750, 0.750, 0.297], [0.872, 0.750, 0.110], [0.959, 0.250, 0.655], [0.095, 0.250, 0.504], [0.246, 0.750, 0.820], [0.254, 0.250, 0.320], [0.405, 0.750, 0.004], [0.595, 0.250, 0.996], [0.746, 0.750, 0.680], [0.754, 0.250, 0.180], [0.905, 0.750, 0.496], [0.032, 0.015, 0.911], [0.032, 0.485, 0.911], [0.046, 0.011, 0.682], [0.046, 0.489, 0.682], [0.104, 0.750, 0.244], [0.201, 0.250, 0.981], [0.212, 0.517, 0.139], [0.212, 0.983, 0.139], [0.288, 0.017, 0.639], [0.288, 0.483, 0.639], [0.299, 0.750, 0.481], [0.396, 0.250, 0.744], [0.454, 0.511, 0.182], [0.454, 0.989, 0.182], [0.468, 0.515, 0.411], [0.468, 0.985, 0.411], [0.532, 0.015, 0.589], [0.532, 0.485, 0.589], [0.546, 0.011, 0.818], [0.546, 0.489, 0.818], [0.604, 0.750, 0.256], [0.701, 0.250, 0.519], [0.712, 0.517, 0.361], [0.712, 0.983, 0.361], [0.788, 0.017, 0.861], [0.788, 0.483, 0.861], [0.799, 0.750, 0.019], [0.896, 0.250, 0.756], [0.954, 0.511, 0.318], [0.954, 0.989, 0.318], [0.968, 0.515, 0.089], [0.968, 0.985, 0.089]], "dos_at_fermi_per_ev_cell": 0.0, "spacegroup": "Pnma (62)", "dft_energy_ha_per_atom": -0.213}

# 5
{"formula": "Hg2PtAu", "functional": "GGA-PBEsol", "state": "relaxed", "lattice": [[2.951, 0.000, 0.000], [0.000, 2.951, 0.000], [0.000, 0.000, 8.259]], "species": ["Hg", "Hg", "Pt", "Au"], "fractional_positions": [[0.000, 0.000, 0.240], [0.000, 0.000, 0.760], [0.500, 0.500, 0.000], [0.500, 0.500, 0.500]], "formation_energy_ev_per_atom": 0.05, "dos_at_fermi_per_ev_cell": 1.2, "spacegroup": "P4/mmm (123)", "polymorph_energy_ev_per_atom": 0.000}

# 6
{"formula": "CsYGe3", "functional": "GGA-PBEsol", "state": "relaxed", "lattice": [[5.411, 0.000, 0.000], [0.000, 5.411, 0.000], [0.000, 0.000, 5.411]], "species": ["Cs", "Y", "Ge", "Ge", "Ge"], "fractional_positions": [[0.000, 0.000, 0.000], [0.500, 0.500, 0.500], [0.000, 0.000, 0.500], [0.000, 0.500, 0.000], [0.500, 0.000, 0.000]], "formation_energy_ev_per_atom": 1.36, "dos_at_fermi_per_ev_cell": 5.4, "spacegroup": "Pm-3m (221)"}

Spin magnetization, record by record: 0.000; 0.000; 0.000; 0.000; 0.000; 0.000 μB/atom